[1]
The following is a GGA-PBE calculation of an optimized crystal structure of Cr3SiAu, from Alexandria via LeMat-Bulk.

The structure in CIF format:
```
data_Cr3SiAu
_symmetry_space_group_name_H-M 'P m -3 m'
_symmetry_Int_Tables_number 221
_symmetry_space_group_name_Hall '-P 4 2 3'
_cell_length_a 4.583
_cell_length_b 4.583
_cell_length_c 4.583
_cell_angle_alpha 90.00
_cell_angle_beta 90.00
_cell_angle_gamma 90.00
loop_
_atom_site_label
_atom_site_fract_x
_atom_site_fract_y
_atom_site_fract_z
Cr1 0.000 0.000 0.500
Si1 0.000 0.000 0.000
Au1 0.500 0.500 0.500
```

Output
Crystal system: cubic
Raw formation energy: 878 meV/atom
Relative energy among the computed polymorphs: 0.0 meV per atom

=====

[2]
The following is a GGA-PBE calculation of an optimized crystal structure of Nd2Dy8Y3, from Alexandria via LeMat-Bulk.

The structure in CIF format:
```
data_Nd2Dy8Y3
_symmetry_space_group_name_H-M 'C 1 2/m 1'
_symmetry_Int_Tables_number 12
_cell_length_a 20.753
_cell_length_b 7.628
_cell_length_c 5.567
_cell_angle_alpha 90.00
_cell_angle_beta 90.02
_cell_angle_gamma 90.00
loop_
_symmetry_equiv_pos_as_xyz
'x,y,z'
'-x,-y,-z'
'-x,y,-z'
'x,-y,z'
'x+1/2,y+1/2,z'
'-x+1/2,-y+1/2,-z'
'-x+1/2,y+1/2,-z'
'x+1/2,-y+1/2,z'
loop_
_atom_site_label
_atom_site_fract_x
_atom_site_fract_y
_atom_site_fract_z
Nd1 0.241 0.000 0.499
Dy1 0.107 0.288 0.500
Dy2 0.130 0.000 0.000
Dy3 0.163 0.500 0.000
Y1 0.000 0.000 0.500
Y2 0.000 0.286 0.000
```

Output
Crystal system: monoclinic
Calculated formation energy: 0.2390 eV per atom

=====

[3]
The following is a GGA-PBE calculation of an optimized crystal structure of NaCd6In6, from Alexandria via LeMat-Bulk.

The structure in CIF format:
```
data_NaCd6In6
_symmetry_space_group_name_H-M 'I m m m'
_symmetry_Int_Tables_number 71
_symmetry_space_group_name_Hall '-I 2 2'
_cell_length_a 5.902
_cell_length_b 10.285
_cell_length_c 11.113
_cell_angle_alpha 90.00
_cell_angle_beta 90.00
_cell_angle_gamma 90.00
loop_
_atom_site_label
_atom_site_fract_x
_atom_site_fract_y
_atom_site_fract_z
Na1 0.000 0.000 0.000
Cd1 0.000 0.500 0.282
Cd2 0.250 0.250 0.250
In1 0.000 0.000 0.358
In2 0.000 0.309 0.500
In3 0.000 0.347 0.000
```

Output
Crystal system: orthorhombic
Calculated formation energy: 0.0046 eV per atom

=====

[4]
The following is a GGA-PBE calculation of an optimized crystal structure of NdGePd6, from Alexandria via LeMat-Bulk.

The structure in CIF format:
```
data_NdGePd6
_symmetry_space_group_name_H-M 'R -3 m'
_symmetry_Int_Tables_number 166
_symmetry_space_group_name_Hall '-R 3 2"'
_cell_length_a 5.5784
_cell_length_b 5.5784
_cell_length_c 18.5351
_cell_angle_alpha 90.00
_cell_angle_beta 90.00
_cell_angle_gamma 120.00
loop_
_atom_site_label
_atom_site_fract_x
_atom_site_fract_y
_atom_site_fract_z
Nd1 0.0000 0.0000 0.0000
Ge1 0.0000 0.0000 0.5000
Pd1 0.0109 0.5055 0.9272
```

Output
Crystal system: trigonal
Calculated formation energy: -0.3079 eV per atom

=====

[5]
The following is a GGA-PBE calculation of an optimized crystal structure of In6Rh5, from Alexandria via LeMat-Bulk.

The structure in CIF format:
```
data_In6Rh5
_symmetry_space_group_name_H-M 'I m m m'
_symmetry_Int_Tables_number 71
_symmetry_space_group_name_Hall '-I 2 2'
_cell_length_a 4.596
_cell_length_b 6.308
_cell_length_c 13.765
_cell_angle_alpha 90.00
_cell_angle_beta 90.00
_cell_angle_gamma 90.00
loop_
_atom_site_label
_atom_site_fract_x
_atom_site_fract_y
_atom_site_fract_z
In1 0.000 0.239 0.000
In2 0.000 0.256 0.337
Rh1 0.000 0.000 0.171
Rh2 0.000 0.000 0.500
Rh3 0.000 0.500 0.163
```

Output
Crystal system: orthorhombic
Calculated formation energy: -0.4035 eV per atom

=====

[6]
The following is a GGA-PBE calculation of an optimized crystal structure of TmSc2Pa, from Alexandria via LeMat-Bulk.

The structure in CIF format:
```
data_TmSc2Pa
_symmetry_space_group_name_H-M 'P 4/m m m'
_symmetry_Int_Tables_number 123
_symmetry_space_group_name_Hall '-P 4 2'
_cell_length_a 3.294
_cell_length_b 3.294
_cell_length_c 9.562
_cell_angle_alpha 90.00
_cell_angle_beta 90.00
_cell_angle_gamma 90.00
loop_
_atom_site_label
_atom_site_fract_x
_atom_site_fract_y
_atom_site_fract_z
Tm1 0.000 0.000 0.000
Sc1 0.500 0.500 0.264
Pa1 0.000 0.000 0.500
```

Output
Crystal system: tetragonal
Calculated formation energy: 0.1021 eV per atom
Relative energy among the computed polymorphs: 37.6 meV per atom

=====

[7]
The following is a GGA-PBE calculation of an optimized crystal structure of CuIr3O, from Alexandria via LeMat-Bulk.

The structure in CIF format:
```
data_CuIr3O
_symmetry_space_group_name_H-M 'P m -3 m'
_symmetry_Int_Tables_number 221
_symmetry_space_group_name_Hall '-P 4 2 3'
_cell_length_a 4.097
_cell_length_b 4.097
_cell_length_c 4.097
_cell_angle_alpha 90.00
_cell_angle_beta 90.00
_cell_angle_gamma 90.00
loop_
_atom_site_label
_atom_site_fract_x
_atom_site_fract_y
_atom_site_fract_z
Cu1 0.000 0.000 0.000
Ir1 0.000 0.500 0.500
O1 0.500 0.500 0.500
```

Output
Crystal system: cubic
Raw formation energy: 838 meV/atom
Relative energy among the computed polymorphs: 0.0 meV per atom

=====

[8]
The following is a GGA-PBE calculation of an optimized crystal structure of CaTi3Nb, from Alexandria via LeMat-Bulk.

The structure in CIF format:
```
data_CaTi3Nb
_symmetry_space_group_name_H-M 'P m -3 m'
_symmetry_Int_Tables_number 221
_symmetry_space_group_name_Hall '-P 4 2 3'
_cell_length_a 4.586
_cell_length_b 4.586
_cell_length_c 4.586
_cell_angle_alpha 90.00
_cell_angle_beta 90.00
_cell_angle_gamma 90.00
loop_
_atom_site_label
_atom_site_fract_x
_atom_site_fract_y
_atom_site_fract_z
Ca1 0.000 0.000 0.000
Ti1 0.000 0.000 0.500
Nb1 0.500 0.500 0.500
```

Output
Crystal system: cubic
Calculated formation energy: 1.6978 eV per atom
Relative energy among the computed polymorphs: 992.8 meV per atom

=====

[9]
The following is a GGA-PBE calculation of an optimized crystal structure of La8Rh3AuBr4, from Alexandria via LeMat-Bulk.

The structure in CIF format:
```
data_La8Rh3AuBr4
_symmetry_space_group_name_H-M 'R -3 m'
_symmetry_Int_Tables_number 166
_symmetry_space_group_name_Hall '-R 3 2"'
_cell_length_a 8.4986
_cell_length_b 8.4986
_cell_length_c 23.7142
_cell_angle_alpha 90.00
_cell_angle_beta 90.00
_cell_angle_gamma 120.00
loop_
_atom_site_label
_atom_site_fract_x
_atom_site_fract_y
_atom_site_fract_z
La1 0.0000 0.0000 0.2331
La2 0.0134 0.5067 0.7673
Rh1 0.0000 0.5000 0.5000
Au1 0.0000 0.0000 0.5000
Br1 0.0000 0.0000 0.0000
Br2 0.0000 0.5000 0.0000
```

Output
Crystal system: trigonal
Raw formation energy: -1151 meV/atom

=====

[10]
The following is a GGA-PBE calculation of an optimized crystal structure of ZnIn2Si2, from Alexandria via LeMat-Bulk.

The structure in CIF format:
```
data_ZnIn2Si2
_symmetry_space_group_name_H-M 'I 4/m m m'
_symmetry_Int_Tables_number 139
_symmetry_space_group_name_Hall '-I 4 2'
_cell_length_a 4.809
_cell_length_b 4.809
_cell_length_c 10.086
_cell_angle_alpha 90.00
_cell_angle_beta 90.00
_cell_angle_gamma 90.00
loop_
_atom_site_label
_atom_site_fract_x
_atom_site_fract_y
_atom_site_fract_z
Zn1 0.000 0.000 0.000
In1 0.000 0.500 0.250
Si1 0.000 0.000 0.385
```

Output
Crystal system: tetragonal
Raw formation energy: 366 meV/atom
Relative energy among the computed polymorphs: 87.1 meV per atom

=====

[11]
The following is a GGA-PBE calculation of an optimized crystal structure of HoHf2Tc9, from Alexandria via LeMat-Bulk.

The structure in CIF format:
```
data_HoHf2Tc9
_symmetry_space_group_name_H-M 'R -3 m'
_symmetry_Int_Tables_number 166
_symmetry_space_group_name_Hall '-R 3 2"'
_cell_length_a 5.2413
_cell_length_b 5.2413
_cell_length_c 26.0063
_cell_angle_alpha 90.00
_cell_angle_beta 90.00
_cell_angle_gamma 120.00
loop_
_atom_site_label
_atom_site_fract_x
_atom_site_fract_y
_atom_site_fract_z
Ho1 0.0000 0.0000 0.0000
Hf1 0.0000 0.0000 0.1430
Tc1 0.0000 0.0000 0.3362
Tc2 0.0000 0.0000 0.5000
Tc3 0.0098 0.5049 0.9143
```

Output
Crystal system: trigonal
Calculated formation energy: -0.1607 eV per atom

=====

[12]
The following is a GGA-PBE calculation of an optimized crystal structure of Sm2AgSe3, from Alexandria via LeMat-Bulk.

The structure in CIF format:
```
data_Sm2AgSe3
_symmetry_space_group_name_H-M 'I m m m'
_symmetry_Int_Tables_number 71
_symmetry_space_group_name_Hall '-I 2 2'
_cell_length_a 4.150
_cell_length_b 5.868
_cell_length_c 12.634
_cell_angle_alpha 90.00
_cell_angle_beta 90.00
_cell_angle_gamma 90.00
loop_
_atom_site_label
_atom_site_fract_x
_atom_site_fract_y
_atom_site_fract_z
Sm1 0.000 0.000 0.163
Ag1 0.000 0.000 0.500
Se1 0.000 0.500 0.167
Se2 0.000 0.500 0.500
```

Output
Crystal system: orthorhombic
Raw formation energy: -1371 meV/atom

=====

What are the magnetization values for these records? In order: 11.0 0.0 0.0 0.0 0.0 0.2 0.0 0.0 0.0 0.0 0.0 0.0 μB/f.u..
What are the final energy values for these records? In order: -33.18 -62.64 -23.18 -43.01 -57.63 -26.22 -31.45 -27.27 -89.86 -15.77 -119.71 -30.97 eV per formula unit.